No. 1
GaFeNiIr after structural relaxation, computed with PBE-GGA.

Output
Electronic total energy = -6.58 eV/atom
Volume = 12.86 Å³/atom
ΔE to the lowest computed polymorph = 0.0 meV per atom

a = 4.1749 Å, b = 4.1749 Å, c = 4.1749 Å
α = 60.00°, β = 60.00°, γ = 60.00°
Positions (direct):
Ga (0.0000, 0.0000, 0.0000)
Fe (0.2500, 0.2500, 0.2500)
Ni (0.5000, 0.5000, 0.5000)
Ir (0.7500, 0.7500, 0.7500)



No. 2
RbYAgS3 after structural relaxation, computed with PBE-GGA.

Output
Electronic total energy = -4.92 eV/atom
Volume = 26.59 Å³/atom

a = 7.7153 Å, b = 7.7153 Å, c = 10.5589 Å
α = 90.00°, β = 90.00°, γ = 149.50°
Positions (direct):
Rb (0.2462, 0.7538, 0.7500)
Rb (0.7538, 0.2462, 0.2500)
Y (0.5000, 0.5000, 0.0000)
Y (0.5000, 0.5000, 0.5000)
Ag (0.0360, 0.9640, 0.2500)
Ag (0.9640, 0.0360, 0.7500)
S (0.1214, 0.8786, 0.0484)
S (0.1214, 0.8786, 0.4516)
S (0.4355, 0.5645, 0.2500)
S (0.5645, 0.4355, 0.7500)
S (0.8786, 0.1214, 0.5484)
S (0.8786, 0.1214, 0.9516)



No. 3
TbLu3C2Se2 after structural relaxation, computed with PBE-GGA.

Output
Electronic total energy = -6.63 eV/atom
Volume = 19.27 Å³/atom

a = 3.6953 Å, b = 3.6953 Å, c = 13.0368 Å
α = 90.00°, β = 90.00°, γ = 120.00°
Positions (direct):
Tb (0.0000, 0.0000, 0.0000)
Lu (0.0000, 0.0000, 0.6957)
Lu (0.6667, 0.3333, 0.2020)
Lu (0.6667, 0.3333, 0.5006)
C (0.3333, 0.6667, 0.1036)
C (0.3333, 0.6667, 0.5974)
Se (0.0000, 0.0000, 0.3508)
Se (0.6667, 0.3333, 0.8437)



No. 4
Nb2CoPt5 after structural relaxation, computed with PBE-GGA.

Output
Electronic total energy = -7.74 eV/atom
Volume = 15.40 Å³/atom

a = 4.5615 Å, b = 5.5966 Å, c = 5.5966 Å
α = 59.58°, β = 90.00°, γ = 90.00°
Positions (direct):
Nb (0.0000, 0.0000, 0.0000)
Nb (0.5000, 0.3384, 0.3384)
Co (0.5000, 0.8361, 0.8361)
Pt (0.0000, 0.0024, 0.5136)
Pt (0.0000, 0.5034, 0.5034)
Pt (0.0000, 0.5136, 0.0024)
Pt (0.5000, 0.3339, 0.8409)
Pt (0.5000, 0.8409, 0.3339)



No. 5
KNaTb after structural relaxation, computed with PBE-GGA.

Output
Electronic total energy = -1.31 eV/atom
Volume = 46.83 Å³/atom

a = 5.8352 Å, b = 5.8352 Å, c = 5.8352 Å
α = 60.00°, β = 60.00°, γ = 60.00°
Positions (direct):
K (0.0000, 0.0000, 0.0000)
Na (0.7500, 0.7500, 0.7500)
Tb (0.2500, 0.2500, 0.2500)



No. 6
ZnInSnO4 after structural relaxation, computed with PBE-GGA.

Output
Electronic total energy = -5.35 eV/atom
Volume = 13.13 Å³/atom
ΔE to the lowest computed polymorph = 9.3 meV per atom

a = 6.3851 Å, b = 6.3851 Å, c = 9.0174 Å
α = 90.00°, β = 90.00°, γ = 90.00°
Positions (direct):
Zn (0.0000, 0.2329, 0.0000)
Zn (0.0000, 0.7671, 0.5000)
Zn (0.2329, 0.0000, 0.7500)
Zn (0.7671, 0.0000, 0.2500)
In (0.2349, 0.5000, 0.7500)
In (0.5000, 0.2349, 0.0000)
In (0.5000, 0.7651, 0.5000)
In (0.7651, 0.5000, 0.2500)
Sn (0.2532, 0.2532, 0.3750)
Sn (0.2532, 0.7468, 0.1250)
Sn (0.7468, 0.2532, 0.6250)
Sn (0.7468, 0.7468, 0.8750)
O (0.0105, 0.2437, 0.7629)
O (0.0105, 0.7563, 0.7371)
O (0.2437, 0.0105, 0.9871)
O (0.2437, 0.9895, 0.5129)
O (0.2450, 0.4715, 0.9931)
O (0.2450, 0.5285, 0.5069)
O (0.4715, 0.2450, 0.7569)
O (0.4715, 0.7550, 0.7431)
O (0.5285, 0.2450, 0.2431)
O (0.5285, 0.7550, 0.2569)
O (0.7550, 0.4715, 0.0069)
O (0.7550, 0.5285, 0.4931)
O (0.7563, 0.0105, 0.0129)
O (0.7563, 0.9895, 0.4871)
O (0.9895, 0.2437, 0.2371)
O (0.9895, 0.7563, 0.2629)



No. 7
KSrZr after structural relaxation, computed with PBE-GGA.

Output
Electronic total energy = -2.46 eV/atom
Volume = 53.23 Å³/atom
ΔE to the lowest computed polymorph = 0.0 meV per atom

a = 6.0898 Å, b = 6.0898 Å, c = 6.0898 Å
α = 60.00°, β = 60.00°, γ = 60.00°
Positions (direct):
K (0.0000, 0.0000, 0.0000)
Sr (0.5000, 0.5000, 0.5000)
Zr (0.2500, 0.2500, 0.2500)



No. 8
YPaPt after structural relaxation, computed with PBE-GGA.

Output
Electronic total energy = -7.70 eV/atom
Volume = 27.01 Å³/atom
ΔE to the lowest computed polymorph = 0.0 meV per atom

a = 4.8574 Å, b = 4.8574 Å, c = 4.8574 Å
α = 60.00°, β = 60.00°, γ = 60.00°
Positions (direct):
Y (0.0000, 0.0000, 0.0000)
Pa (0.5000, 0.5000, 0.5000)
Pt (0.7500, 0.7500, 0.7500)



No. 9
CdCuAsIr after structural relaxation, computed with PBE-GGA.

Output
Electronic total energy = -4.30 eV/atom
Volume = 16.14 Å³/atom
ΔE to the lowest computed polymorph = 0.0 meV per atom

a = 4.5031 Å, b = 4.5031 Å, c = 4.5031 Å
α = 60.00°, β = 60.00°, γ = 60.00°
Positions (direct):
Cd (0.0000, 0.0000, 0.0000)
Cu (0.7500, 0.7500, 0.7500)
As (0.5000, 0.5000, 0.5000)
Ir (0.2500, 0.2500, 0.2500)



No. 10
RbTa2 after structural relaxation, computed with PBE-GGA.

Output
Electronic total energy = -2.34 eV/atom
Volume = 61.23 Å³/atom
ΔE to the lowest computed polymorph = 4233.8 meV per atom

a = 8.0391 Å, b = 8.0391 Å, c = 8.0391 Å
α = 60.00°, β = 60.00°, γ = 60.00°
Positions (direct):
Rb (0.1250, 0.1250, 0.1250)
Rb (0.8750, 0.8750, 0.8750)
Ta (0.0000, 0.0000, 0.0000)
Ta (0.0000, 0.0000, 0.5000)
Ta (0.0000, 0.5000, 0.0000)
Ta (0.5000, 0.0000, 0.0000)



No. 11
Dy2Y2CBr5 after structural relaxation, computed with PBE-GGA.

Output
Electronic total energy = -5.41 eV/atom
Volume = 26.90 Å³/atom

a = 9.1009 Å, b = 9.1009 Å, c = 8.1410 Å
α = 102.76°, β = 102.76°, γ = 24.17°
Positions (direct):
Dy (0.0008, 0.0008, 0.2990)
Dy (0.9992, 0.9992, 0.7010)
Y (0.3614, 0.3614, 0.4279)
Y (0.6386, 0.6386, 0.5721)
C (0.5000, 0.5000, 0.5000)
Br (0.1641, 0.1641, 0.8400)
Br (0.1701, 0.1701, 0.3283)
Br (0.5000, 0.5000, 0.0000)
Br (0.8299, 0.8299, 0.6717)
Br (0.8359, 0.8359, 0.1600)



No. 12
TaAg2Au after structural relaxation, computed with PBE-GGA.

Output
Electronic total energy = -4.95 eV/atom
Volume = 17.42 Å³/atom

a = 4.6188 Å, b = 4.6188 Å, c = 4.6188 Å
α = 60.00°, β = 60.00°, γ = 60.00°
Positions (direct):
Ta (0.0000, 0.0000, 0.0000)
Ag (0.5000, 0.5000, 0.5000)
Ag (0.7500, 0.7500, 0.7500)
Au (0.2500, 0.2500, 0.2500)



The lowest volume belongs to which entry? GaFeNiIr



The highest volume belongs to which entry? RbTa2